No. 1
{
  "formula": "Tb2ErAl6",
  "functional": "GGA-PBE",
  "state": "optimized geometry",
  "lattice_angstrom": [[-2.193, 3.538, 6.799], [2.193, -3.538, 6.799], [2.193, 3.538, -6.799]],
  "species": ["Tb", "Tb", "Er", "Al", "Al", "Al", "Al", "Al", "Al"],
  "fractional_positions": [[0.123, 0.123, 0.000], [0.877, 0.877, 0.000], [0.500, 0.000, 0.500], [0.121, 0.315, 0.807], [0.191, 0.500, 0.691], [0.492, 0.685, 0.807], [0.508, 0.315, 0.193], [0.809, 0.500, 0.309], [0.879, 0.685, 0.193]],
  "total_energy_ev_per_atom": -4.257,
  "de_polymorph_ev_per_atom": 0.271,
  "total_magnetization_mub_per_atom": 0.00,
  "e_form_mev_per_atom": -226
}

=====

No. 2
{
  "formula": "SrFeSe2N",
  "functional": "GGA-PBE",
  "state": "optimized geometry",
  "lattice_angstrom": [[5.782, 0.000, 0.000], [0.000, 5.782, 0.000], [0.000, 0.000, 4.732]],
  "species": ["Sr", "Fe", "Se", "Se", "N"],
  "fractional_positions": [[0.000, 0.000, 0.000], [0.500, 0.500, 0.500], [0.000, 0.500, 0.000], [0.500, 0.000, 0.000], [0.000, 0.000, 0.500]],
  "total_energy_ev_per_atom": -3.874,
  "de_polymorph_ev_per_atom": 1.688,
  "total_magnetization_mub_per_atom": 1.33
}

=====

No. 3
{
  "formula": "ThReBr",
  "functional": "GGA-PBE",
  "state": "optimized geometry",
  "lattice_angstrom": [[7.313, 0.000, 0.000], [0.000, 4.224, 0.000], [-0.316, 0.000, 11.637]],
  "species": ["Th", "Th", "Th", "Th", "Re", "Re", "Re", "Re", "Br", "Br", "Br", "Br"],
  "fractional_positions": [[0.008, 0.000, 0.177], [0.492, 0.500, 0.823], [0.508, 0.500, 0.177], [0.992, 0.000, 0.823], [0.166, 0.500, 0.973], [0.334, 0.000, 0.027], [0.666, 0.000, 0.973], [0.834, 0.500, 0.027], [0.182, 0.500, 0.349], [0.318, 0.000, 0.651], [0.682, 0.000, 0.349], [0.818, 0.500, 0.651]],
  "total_energy_ev_per_atom": -8.004,
  "de_polymorph_ev_per_atom": 0.000,
  "total_magnetization_mub_per_atom": 0.00
}

=====

No. 4
{
  "formula": "Ba2LaAlS5",
  "functional": "GGA-PBE",
  "state": "optimized geometry",
  "lattice_angstrom": [[2.080, -9.175, 0.000], [2.080, 9.175, 0.000], [0.000, 0.000, 13.288]],
  "species": ["Ba", "Ba", "Ba", "Ba", "La", "La", "Al", "Al", "S", "S", "S", "S", "S", "S", "S", "S", "S", "S"],
  "fractional_positions": [[0.116, 0.884, 0.500], [0.127, 0.873, 0.152], [0.873, 0.127, 0.652], [0.884, 0.116, 0.000], [0.199, 0.801, 0.849], [0.801, 0.199, 0.349], [0.447, 0.553, 0.233], [0.553, 0.447, 0.733], [0.034, 0.966, 0.821], [0.297, 0.703, 0.493], [0.325, 0.675, 0.195], [0.349, 0.651, 0.828], [0.496, 0.504, 0.588], [0.504, 0.496, 0.088], [0.651, 0.349, 0.328], [0.675, 0.325, 0.695], [0.703, 0.297, 0.993], [0.966, 0.034, 0.321]],
  "total_energy_ev_per_atom": -5.549,
  "total_magnetization_mub_per_atom": 0.00
}

=====

No. 5
{
  "formula": "TiPO4",
  "functional": "GGA-PBE",
  "state": "optimized geometry",
  "lattice_angstrom": [[4.022, -2.938, 0.000], [4.022, 2.938, 0.000], [-0.778, 0.000, 6.208]],
  "species": ["Ti", "Ti", "P", "P", "O", "O", "O", "O", "O", "O", "O", "O"],
  "fractional_positions": [[0.000, 0.500, 0.000], [0.500, 0.000, 0.500], [0.139, 0.861, 0.750], [0.861, 0.139, 0.250], [0.167, 0.173, 0.272], [0.173, 0.167, 0.772], [0.271, 0.703, 0.953], [0.297, 0.729, 0.547], [0.703, 0.271, 0.453], [0.729, 0.297, 0.047], [0.827, 0.833, 0.228], [0.833, 0.827, 0.728]],
  "total_energy_ev_per_atom": -7.827,
  "total_magnetization_mub_per_atom": 0.17
}

=====

No. 6
{
  "formula": "Sr2PuNiS5",
  "functional": "GGA-PBE",
  "state": "optimized geometry",
  "lattice_angstrom": [[1.985, -8.670, 0.000], [1.985, 8.670, 0.000], [0.000, 0.000, 12.272]],
  "species": ["Sr", "Sr", "Sr", "Sr", "Pu", "Pu", "Ni", "Ni", "S", "S", "S", "S", "S", "S", "S", "S", "S", "S"],
  "fractional_positions": [[0.116, 0.884, 0.500], [0.118, 0.882, 0.854], [0.882, 0.118, 0.354], [0.884, 0.116, 0.000], [0.196, 0.804, 0.184], [0.804, 0.196, 0.684], [0.436, 0.564, 0.584], [0.564, 0.436, 0.084], [0.044, 0.956, 0.163], [0.302, 0.698, 0.832], [0.308, 0.692, 0.537], [0.349, 0.651, 0.177], [0.499, 0.501, 0.428], [0.501, 0.499, 0.928], [0.651, 0.349, 0.677], [0.692, 0.308, 0.037], [0.698, 0.302, 0.332], [0.956, 0.044, 0.663]],
  "total_energy_ev_per_atom": -6.373,
  "total_magnetization_mub_per_atom": 0.32
}

=====

No. 7
{
  "formula": "AcDySn2",
  "functional": "GGA-PBE",
  "state": "optimized geometry",
  "lattice_angstrom": [[4.111, 0.000, 0.000], [0.000, 4.111, 0.000], [0.000, 0.000, 7.170]],
  "species": ["Ac", "Dy", "Sn", "Sn"],
  "fractional_positions": [[0.000, 0.000, 0.000], [0.000, 0.000, 0.500], [0.500, 0.500, 0.288], [0.500, 0.500, 0.712]],
  "total_energy_ev_per_atom": -4.802,
  "total_magnetization_mub_per_atom": 0.01,
  "e_form_mev_per_atom": -623
}

=====

No. 8
{
  "formula": "MgMoPd",
  "functional": "GGA-PBE",
  "state": "optimized geometry",
  "lattice_angstrom": [[10.461, 0.000, 0.000], [0.000, 3.136, 0.000], [-2.220, 0.000, 6.230]],
  "species": ["Mg", "Mg", "Mg", "Mg", "Mo", "Mo", "Mo", "Mo", "Pd", "Pd", "Pd", "Pd"],
  "fractional_positions": [[0.000, 0.000, 0.000], [0.153, 0.500, 0.757], [0.500, 0.500, 0.000], [0.653, 0.000, 0.757], [0.309, 0.000, 0.154], [0.439, 0.500, 0.416], [0.809, 0.500, 0.154], [0.939, 0.000, 0.416], [0.144, 0.500, 0.334], [0.344, 0.000, 0.686], [0.644, 0.000, 0.334], [0.844, 0.500, 0.686]],
  "total_energy_ev_per_atom": -5.923,
  "de_polymorph_ev_per_atom": 0.158,
  "total_magnetization_mub_per_atom": 0.00,
  "e_form_mev_per_atom": -50
}